No. 1
Cs2Pb5Au3 | GGA-PBE | relaxed

Output
Electronic total energy = -3.17 eV per atom
Crystal system = orthorhombic

a = 7.372 Å, b = 10.233 Å, c = 10.233 Å
α = 73.27°, β = 68.89°, γ = 68.89°
Element x y z (fractional)
Cs1 0.130 0.621 0.119
Cs2 0.630 0.119 0.621
Cs3 0.870 0.379 0.881
Cs4 0.370 0.881 0.379
Pb1 0.390 0.243 0.977
Pb2 0.890 0.977 0.243
Pb3 0.610 0.757 0.023
Pb4 0.110 0.023 0.757
Pb5 0.503 0.747 0.747
Pb6 0.497 0.253 0.253
Pb7 0.750 0.500 0.500
Pb8 0.250 0.500 0.500
Pb9 0.997 0.253 0.253
Pb10 0.003 0.747 0.747
Au1 0.377 0.499 0.748
Au2 0.877 0.748 0.499
Au3 0.623 0.501 0.252
Au4 0.123 0.252 0.501
Au5 0.250 0.000 0.000
Au6 0.750 0.000 0.000

---

No. 2
CsAlBi | GGA-PBE | relaxed

Output
Electronic total energy = -2.89 eV per atom
Crystal system = trigonal

a = 6.589 Å, b = 4.674 Å, c = 4.674 Å
α = 120.00°, β = 90.00°, γ = 90.00°
Element x y z (fractional)
Cs1 0.679 0.667 0.333
Bi1 0.229 0.333 0.667
Al1 0.092 0.000 0.000

---

Number 1: theoretical density 9.52 g cm⁻³, formation enthalpy at 0 K -0.1657 eV per atom. Number 2: theoretical density 4.91 g cm⁻³, formation enthalpy at 0 K -0.0640 eV per atom.